[1]
Compound: LaY6Er
Source: Alexandria via LeMat-Bulk
Functional: GGA-PBE
Structure: optimized geometry

Energy relative to the elements ... 0.149 eV per atom
Excess energy over the best structure of this formula in the dataset ... 0.000 eV per atom
Space-group type ... R-3 (148)
Fermi-level density of states ... 14.89 states/eV/f.u.
Total magnetization ... 0.00 μB per formula unit

Lattice parameters (Å, degrees): 6.501 6.501 6.501 96.27 96.27 96.27
Fractional positions:
1 La 0.000 0.000 0.000
2 Y 0.041 0.456 0.746
3 Y 0.254 0.959 0.544
4 Y 0.456 0.746 0.041
5 Y 0.544 0.254 0.959
6 Y 0.746 0.041 0.456
7 Y 0.959 0.544 0.254
8 Er 0.500 0.500 0.500



[2]
Compound: PmMg3Cu2
Source: Alexandria via LeMat-Bulk
Functional: GGA-PBE
Structure: optimized geometry

Energy relative to the elements ... -0.089 eV per atom
Excess energy over the best structure of this formula in the dataset ... 0.007 eV per atom
Space-group type ... C2/m (12)
Fermi-level density of states ... 3.10 states/eV/f.u.
Total magnetization ... 0.00 μB per formula unit

Lattice parameters (Å, degrees): 7.767 7.767 10.726 122.13 122.13 28.69
Fractional positions:
1 Pm 0.140 0.140 0.225
2 Pm 0.860 0.860 0.775
3 Mg 0.146 0.146 0.733
4 Mg 0.422 0.422 0.084
5 Mg 0.425 0.425 0.560
6 Mg 0.575 0.575 0.440
7 Mg 0.578 0.578 0.916
8 Mg 0.854 0.854 0.267
9 Cu 0.225 0.225 0.550
10 Cu 0.226 0.226 0.043
11 Cu 0.774 0.774 0.957
12 Cu 0.775 0.775 0.450



[3]
Compound: VZn2Si
Source: Alexandria via LeMat-Bulk
Functional: GGA-PBE
Structure: optimized geometry

Space-group type ... I-42d (122)
Fermi-level density of states ... 2.17 states/eV/f.u.
Total magnetization ... 0.52 μB per formula unit
Formation energy without anion corrections ... 6.35 kcal/mol of atoms

Lattice parameters (Å, degrees): 5.562 5.562 5.562 101.26 101.26 127.56
Fractional positions:
1 V 0.000 0.000 0.000
2 V 0.750 0.250 0.500
3 Zn 0.147 0.625 0.022
4 Zn 0.375 0.397 0.522
5 Zn 0.603 0.125 0.978
6 Zn 0.875 0.853 0.478
7 Si 0.250 0.750 0.500
8 Si 0.500 0.500 0.000



Repeat the second record exactly.
Compound: PmMg3Cu2
Source: Alexandria via LeMat-Bulk
Functional: GGA-PBE
Structure: optimized geometry

Energy relative to the elements ... -0.089 eV per atom
Excess energy over the best structure of this formula in the dataset ... 0.007 eV per atom
Space-group type ... C2/m (12)
Fermi-level density of states ... 3.10 states/eV/f.u.
Total magnetization ... 0.00 μB per formula unit

Lattice parameters (Å, degrees): 7.767 7.767 10.726 122.13 122.13 28.69
Fractional positions:
1 Pm 0.140 0.140 0.225
2 Pm 0.860 0.860 0.775
3 Mg 0.146 0.146 0.733
4 Mg 0.422 0.422 0.084
5 Mg 0.425 0.425 0.560
6 Mg 0.575 0.575 0.440
7 Mg 0.578 0.578 0.916
8 Mg 0.854 0.854 0.267
9 Cu 0.225 0.225 0.550
10 Cu 0.226 0.226 0.043
11 Cu 0.774 0.774 0.957
12 Cu 0.775 0.775 0.450



Question: What is the total magnetization in the third record?
Answer: 0.52 μB per formula unit



Question: Among the records above, which one has the lowest Fermi-level density of states?
Answer: VZn2Si